## 1
# LaTcRh2, optimized geometry, DFT GGA-PBEsol
# Density of states at the Fermi level   10.01 states/eV/cell
# Total magnetization   0.00 μB per formula unit
# Crystal system   orthorhombic
data_LaTcRh2
_symmetry_space_group_name_H-M 'I m m m'
_symmetry_Int_Tables_number 71
_symmetry_space_group_name_Hall '-I 2 2'
_cell_length_a 4.1199
_cell_length_b 4.1314
_cell_length_c 7.8908
_cell_angle_alpha 90.00
_cell_angle_beta 90.00
_cell_angle_gamma 90.00
loop_
_atom_site_label
_atom_site_type_symbol
_atom_site_fract_x
_atom_site_fract_y
_atom_site_fract_z
La1 La 0.0000 0.0000 0.0000
Tc1 Tc 0.0000 0.0000 0.5000
Rh1 Rh 0.0000 0.5000 0.2497

## 2
# LaTcRh2, optimized geometry, DFT GGA-PBEsol
# Density of states at the Fermi level   8.56 states/eV/cell
# Total magnetization   0.00 μB per formula unit
# Crystal system   orthorhombic
data_LaTcRh2
_symmetry_space_group_name_H-M 'C m m m'
_symmetry_Int_Tables_number 65
_symmetry_space_group_name_Hall '-C 2 2'
_cell_length_a 5.7495
_cell_length_b 7.9693
_cell_length_c 2.8973
_cell_angle_alpha 90.00
_cell_angle_beta 90.00
_cell_angle_gamma 90.00
loop_
_atom_site_label
_atom_site_type_symbol
_atom_site_fract_x
_atom_site_fract_y
_atom_site_fract_z
La1 La 0.0000 0.0000 0.0000
Tc1 Tc 0.0000 0.5000 0.0000
Rh1 Rh 0.2500 0.2500 0.5000

Least stable of them? 1.

## 1
# Zr2AlBr, optimized geometry, DFT GGA-PBEsol
# Density of states at the Fermi level   4.59 states/eV/cell
# Total magnetization   0.00 μB per formula unit
# Crystal system   orthorhombic
data_Zr2AlBr
_symmetry_space_group_name_H-M 'I m m m'
_symmetry_Int_Tables_number 71
_symmetry_space_group_name_Hall '-I 2 2'
_cell_length_a 3.2230
_cell_length_b 5.5194
_cell_length_c 9.2284
_cell_angle_alpha 90.00
_cell_angle_beta 90.00
_cell_angle_gamma 90.00
loop_
_atom_site_label
_atom_site_type_symbol
_atom_site_fract_x
_atom_site_fract_y
_atom_site_fract_z
Zr1 Zr 0.0000 0.0000 0.2396
Al1 Al 0.0000 0.5000 0.0000
Br1 Br 0.0000 0.5000 0.5000

## 2
# Zr2AlBr, optimized geometry, DFT GGA-PBEsol
# Density of states at the Fermi level   3.63 states/eV/cell
# Total magnetization   0.00 μB per formula unit
# Crystal system   tetragonal
data_Zr2AlBr
_symmetry_space_group_name_H-M 'P 4 m m'
_symmetry_Int_Tables_number 99
_cell_length_a 3.6106
_cell_length_b 3.6106
_cell_length_c 6.5910
_cell_angle_alpha 90.00
_cell_angle_beta 90.00
_cell_angle_gamma 90.00
loop_
_symmetry_equiv_pos_as_xyz
'x,y,z'
'-y,x,z'
'-x,-y,z'
'y,-x,z'
'-x,y,z'
'y,x,z'
'x,-y,z'
'-y,-x,z'
loop_
_atom_site_label
_atom_site_type_symbol
_atom_site_fract_x
_atom_site_fract_y
_atom_site_fract_z
Zr1 Zr 0.0000 0.0000 0.0000
Zr2 Zr 0.5000 0.5000 0.2718
Al1 Al 0.0000 0.0000 0.4557
Br1 Br 0.5000 0.5000 0.8264

Least stable of them? 1.

## 1
# TlInBr2, optimized geometry, DFT GGA-PBEsol
# Total magnetization   0.00 μB per formula unit
# Crystal system   tetragonal
data_TlInBr2
_symmetry_space_group_name_H-M 'I -4 2 d'
_symmetry_Int_Tables_number 122
_symmetry_space_group_name_Hall 'I -4 2bw'
_cell_length_a 8.3738
_cell_length_b 8.3738
_cell_length_c 7.8101
_cell_angle_alpha 90.00
_cell_angle_beta 90.00
_cell_angle_gamma 90.00
loop_
_atom_site_label
_atom_site_type_symbol
_atom_site_fract_x
_atom_site_fract_y
_atom_site_fract_z
Tl1 Tl 0.0000 0.0000 0.0000
In1 In 0.0000 0.0000 0.5000
Br1 Br 0.2442 0.2500 0.6250

## 2
# TlInBr2, optimized geometry, DFT GGA-PBEsol
# Total magnetization   0.00 μB per formula unit
# Crystal system   orthorhombic
data_TlInBr2
_symmetry_space_group_name_H-M 'A m m 2'
_symmetry_Int_Tables_number 38
_cell_length_a 4.6119
_cell_length_b 4.4120
_cell_length_c 12.1371
_cell_angle_alpha 90.00
_cell_angle_beta 90.00
_cell_angle_gamma 90.00
loop_
_symmetry_equiv_pos_as_xyz
'x,y,z'
'-x,-y,z'
'-x,y,z'
'x,-y,z'
'x,y+1/2,z+1/2'
'-x,-y+1/2,z+1/2'
'-x,y+1/2,z+1/2'
'x,-y+1/2,z+1/2'
loop_
_atom_site_label
_atom_site_type_symbol
_atom_site_fract_x
_atom_site_fract_y
_atom_site_fract_z
Tl1 Tl 0.0000 0.0000 0.0000
In1 In 0.5000 0.0000 0.7907
Br1 Br 0.0000 0.0000 0.2622
Br2 Br 0.5000 0.0000 0.5528

Least stable of them? 1.

## 1
# Cr2SiBr, optimized geometry, DFT GGA-PBEsol
# Density of states at the Fermi level   7.50 states/eV/cell
# Total magnetization   1.18 μB per formula unit
# Crystal system   trigonal
data_Cr2SiBr
_symmetry_space_group_name_H-M 'R 3 m'
_symmetry_Int_Tables_number 160
_symmetry_space_group_name_Hall 'R 3 -2"'
_cell_length_a 3.0647
_cell_length_b 3.0647
_cell_length_c 22.6670
_cell_angle_alpha 90.00
_cell_angle_beta 90.00
_cell_angle_gamma 120.00
loop_
_atom_site_label
_atom_site_type_symbol
_atom_site_fract_x
_atom_site_fract_y
_atom_site_fract_z
Cr1 Cr 0.0000 0.0000 0.0000
Cr2 Cr 0.0000 0.0000 0.2606
Si1 Si 0.0000 0.0000 0.5229
Br1 Br 0.0000 0.0000 0.7476

## 2
# Cr2SiBr, optimized geometry, DFT GGA-PBEsol
# Density of states at the Fermi level   10.47 states/eV/cell
# Total magnetization   0.56 μB per formula unit
# Crystal system   cubic
data_Cr2SiBr
_symmetry_space_group_name_H-M 'F -4 3 m'
_symmetry_Int_Tables_number 216
_symmetry_space_group_name_Hall 'F -4 2 3'
_cell_length_a 6.3030
_cell_length_b 6.3030
_cell_length_c 6.3030
_cell_angle_alpha 90.00
_cell_angle_beta 90.00
_cell_angle_gamma 90.00
loop_
_atom_site_label
_atom_site_type_symbol
_atom_site_fract_x
_atom_site_fract_y
_atom_site_fract_z
Cr1 Cr 0.0000 0.0000 0.0000
Cr2 Cr 0.2500 0.2500 0.2500
Si1 Si 0.0000 0.0000 0.5000
Br1 Br 0.2500 0.2500 0.7500

Least stable of them? 2.

## 1
# Ag2PtAu, optimized geometry, DFT GGA-PBEsol
# Density of states at the Fermi level   2.60 states/eV/cell
# Total magnetization   0.00 μB per formula unit
# Crystal system   orthorhombic
data_Ag2PtAu
_symmetry_space_group_name_H-M 'C m m 2'
_symmetry_Int_Tables_number 35
_cell_length_a 2.8389
_cell_length_b 4.7671
_cell_length_c 9.6009
_cell_angle_alpha 90.00
_cell_angle_beta 90.00
_cell_angle_gamma 90.00
loop_
_symmetry_equiv_pos_as_xyz
'x,y,z'
'-x,-y,z'
'-x,y,z'
'x,-y,z'
'x+1/2,y+1/2,z'
'-x+1/2,-y+1/2,z'
'-x+1/2,y+1/2,z'
'x+1/2,-y+1/2,z'
loop_
_atom_site_label
_atom_site_type_symbol
_atom_site_fract_x
_atom_site_fract_y
_atom_site_fract_z
Ag1 Ag 0.0000 0.0000 0.0000
Ag2 Ag 0.0000 0.5000 0.2494
Pt1 Pt 0.0000 0.0000 0.4958
Au1 Au 0.0000 0.5000 0.7473

## 2
# Ag2PtAu, optimized geometry, DFT GGA-PBEsol
# Density of states at the Fermi level   2.64 states/eV/cell
# Total magnetization   0.00 μB per formula unit
# Crystal system   monoclinic
data_Ag2PtAu
_symmetry_space_group_name_H-M 'C 1 m 1'
_symmetry_Int_Tables_number 8
_cell_length_a 9.3835
_cell_length_b 2.8244
_cell_length_c 4.9415
_cell_angle_alpha 90.00
_cell_angle_beta 99.85
_cell_angle_gamma 90.00
loop_
_symmetry_equiv_pos_as_xyz
'x,y,z'
'x,-y,z'
'x+1/2,y+1/2,z'
'x+1/2,-y+1/2,z'
loop_
_atom_site_label
_atom_site_type_symbol
_atom_site_fract_x
_atom_site_fract_y
_atom_site_fract_z
Ag1 Ag 0.0000 0.0000 0.0000
Ag2 Ag 0.2467 0.0000 0.7517
Pt1 Pt 0.4986 0.0000 0.5000
Au1 Au 0.2522 0.5000 0.2572

Least stable of them? 1.

## 1
# Ba5Cl, optimized geometry, DFT GGA-PBEsol
# Density of states at the Fermi level   45.89 states/eV/cell
# Total magnetization   0.01 μB per formula unit
# Crystal system   cubic
data_Ba5Cl
_symmetry_space_group_name_H-M 'F -4 3 m'
_symmetry_Int_Tables_number 216
_symmetry_space_group_name_Hall 'F -4 2 3'
_cell_length_a 11.1260
_cell_length_b 11.1260
_cell_length_c 11.1260
_cell_angle_alpha 90.00
_cell_angle_beta 90.00
_cell_angle_gamma 90.00
loop_
_atom_site_label
_atom_site_type_symbol
_atom_site_fract_x
_atom_site_fract_y
_atom_site_fract_z
Ba1 Ba 0.0000 0.0000 0.0000
Ba2 Ba 0.1249 0.1249 0.3751
Cl1 Cl 0.2500 0.2500 0.7500

## 2
# Ba5Cl, optimized geometry, DFT GGA-PBEsol
# Density of states at the Fermi level   9.97 states/eV/cell
# Total magnetization   1.01 μB per formula unit
# Crystal system   hexagonal
data_Ba5Cl
_symmetry_space_group_name_H-M 'P 6/m m m'
_symmetry_Int_Tables_number 191
_symmetry_space_group_name_Hall '-P 6 2'
_cell_length_a 7.7484
_cell_length_b 7.7484
_cell_length_c 7.4977
_cell_angle_alpha 90.00
_cell_angle_beta 90.00
_cell_angle_gamma 120.00
loop_
_atom_site_label
_atom_site_type_symbol
_atom_site_fract_x
_atom_site_fract_y
_atom_site_fract_z
Ba1 Ba 0.0000 0.5000 0.0000
Ba2 Ba 0.3333 0.6667 0.5000
Cl1 Cl 0.0000 0.0000 0.5000

Least stable of them? 2.

## 1
# CoPbBr2, optimized geometry, DFT GGA-PBEsol
# Density of states at the Fermi level   10.31 states/eV/cell
# Total magnetization   1.73 μB per formula unit
# Crystal system   orthorhombic
data_CoPbBr2
_symmetry_space_group_name_H-M 'I m m m'
_symmetry_Int_Tables_number 71
_symmetry_space_group_name_Hall '-I 2 2'
_cell_length_a 3.5237
_cell_length_b 5.1771
_cell_length_c 10.4793
_cell_angle_alpha 90.00
_cell_angle_beta 90.00
_cell_angle_gamma 90.00
loop_
_atom_site_label
_atom_site_type_symbol
_atom_site_fract_x
_atom_site_fract_y
_atom_site_fract_z
Co1 Co 0.0000 0.0000 0.0000
Pb1 Pb 0.0000 0.0000 0.5000
Br1 Br 0.0000 0.5000 0.3355

## 2
# CoPbBr2, optimized geometry, DFT GGA-PBEsol
# Density of states at the Fermi level   4.17 states/eV/cell
# Total magnetization   2.33 μB per formula unit
# Crystal system   tetragonal
data_CoPbBr2
_symmetry_space_group_name_H-M 'P 4/m m m'
_symmetry_Int_Tables_number 123
_symmetry_space_group_name_Hall '-P 4 2'
_cell_length_a 3.2518
_cell_length_b 3.2518
_cell_length_c 8.4803
_cell_angle_alpha 90.00
_cell_angle_beta 90.00
_cell_angle_gamma 90.00
loop_
_atom_site_label
_atom_site_type_symbol
_atom_site_fract_x
_atom_site_fract_y
_atom_site_fract_z
Co1 Co 0.0000 0.0000 0.0000
Pb1 Pb 0.0000 0.0000 0.5000
Br1 Br 0.5000 0.5000 0.1836

Least stable of them? 2.

## 1
# Mg3Au, optimized geometry, DFT GGA-PBEsol
# Density of states at the Fermi level   4.59 states/eV/cell
# Total magnetization   0.00 μB per formula unit
# Crystal system   cubic
data_Mg3Au
_symmetry_space_group_name_H-M 'F m -3 m'
_symmetry_Int_Tables_number 225
_symmetry_space_group_name_Hall '-F 4 2 3'
_cell_length_a 6.6592
_cell_length_b 6.6592
_cell_length_c 6.6592
_cell_angle_alpha 90.00
_cell_angle_beta 90.00
_cell_angle_gamma 90.00
loop_
_atom_site_label
_atom_site_type_symbol
_atom_site_fract_x
_atom_site_fract_y
_atom_site_fract_z
Mg1 Mg 0.0000 0.0000 0.0000
Mg2 Mg 0.2500 0.2500 0.2500
Au1 Au 0.0000 0.0000 0.5000

## 2
# Mg3Au, optimized geometry, DFT GGA-PBEsol
# Density of states at the Fermi level   2.45 states/eV/cell
# Total magnetization   0.00 μB per formula unit
# Crystal system   hexagonal
data_Mg3Au
_symmetry_space_group_name_H-M 'P 63/m m c'
_symmetry_Int_Tables_number 194
_symmetry_space_group_name_Hall '-P 6c 2c'
_cell_length_a 6.0097
_cell_length_b 6.0097
_cell_length_c 4.7973
_cell_angle_alpha 90.00
_cell_angle_beta 90.00
_cell_angle_gamma 120.00
loop_
_atom_site_label
_atom_site_type_symbol
_atom_site_fract_x
_atom_site_fract_y
_atom_site_fract_z
Mg1 Mg 0.1722 0.3443 0.2500
Au1 Au 0.3333 0.6667 0.7500

Least stable of them? 1.